VASP calculation (GGA+U) on crystalline PrFePb2O4 at its relaxed geometry.

Output
The volume comes out at 17.4 Å³ per atom. The electronic total energy comes out at -6.251 eV/atom. As for the space group: Cmcm (63).

abc: 6.442 6.442 13.245
angles: 90.00 90.00 149.51
Fractional positions:
Pr (0.049, 0.951, 0.750)
Pr (0.951, 0.049, 0.250)
Fe (0.217, 0.783, 0.250)
Fe (0.783, 0.217, 0.750)
Pb (0.364, 0.636, 0.519)
Pb (0.364, 0.636, 0.981)
Pb (0.636, 0.364, 0.019)
Pb (0.636, 0.364, 0.481)
O (0.000, 0.000, 0.000)
O (0.000, 0.000, 0.500)
O (0.357, 0.643, 0.156)
O (0.357, 0.643, 0.344)
O (0.382, 0.618, 0.750)
O (0.618, 0.382, 0.250)
O (0.643, 0.357, 0.656)
O (0.643, 0.357, 0.844)